DFT (PBE) results for a relaxed BeSn2Cl crystal.

```
BeSn2Cl
1.0
-0.7676 1.6110 5.7062
-3.4707 -4.7871 0.8846
2.9240 -4.9440 4.9213
Be Sn Cl
2 4 2
Cartesian
-2.1192 -1.5881 3.2954
-1.3329 -5.6596 4.5506
-0.1127 -0.9741 4.3880
-1.6040 -3.8800 3.0157
0.2878 -5.3347 6.2430
-1.1997 -6.0515 9.3774
0.0000 0.0000 0.0000
0.0186 -2.4606 6.9614
```

Summary:
Formation energy without anion corrections: 0.1538 eV/atom
Uncorrected energy: -3.241 eV per atom
Excess energy over the best structure of this formula in the dataset: 0.0 meV/atom